No. 1
Here is a geometry-optimized AcTbGdPb structure from the Alexandria database. Energies are from GGA-PBE.

## Properties
Its space-group type is No. 216. The calculation puts the formation energy at -0.0821 eV per atom.

Geometry as POSCAR:
```
AcTbGdPb
1.0
5.648 0.000 0.000
2.824 4.891 0.000
2.824 1.630 4.611
Gd Ac Tb Pb
1 1 1 1
Direct
0.500 0.500 0.500
0.250 0.250 0.250
0.000 0.000 0.000
0.750 0.750 0.750
```

No. 2
Here is a geometry-optimized ReH3I structure from the Alexandria database. Energies are from GGA-PBE.

## Properties
Its space-group type is No. 221. The calculation puts the relative energy among the computed polymorphs at 0.0 meV per atom.

Geometry as POSCAR:
```
ReH3I
1.0
-0.825 3.537 -0.986
0.023 -1.006 -3.626
-3.671 -0.801 0.199
Re H I
1 3 1
Direct
0.000 0.000 0.000
0.000 0.500 0.000
0.000 0.000 0.500
0.500 0.000 0.000
0.500 0.500 0.500
```